Computed, not measured: crystalline SnHgBi at its relaxed geometry at the PBE level of DFT.

CIF file:
```
data_SnHgBi
_chemical_formula_sum 'Sn1 Hg1 Bi1'
_cell_length_a 4.4765
_cell_length_b 4.4765
_cell_length_c 5.3647
_cell_angle_alpha 90.00
_cell_angle_beta 90.00
_cell_angle_gamma 120.00
_space_group_name_H-M_alt 'P 3 m 1'
_space_group_IT_number 156
loop_
_space_group_symop_operation_xyz
'x,y,z'
'-y,x-y,z'
'-x+y,-x,z'
'-y,-x,z'
'-x+y,y,z'
'x,x-y,z'
loop_
_atom_site_label
_atom_site_fract_x
_atom_site_fract_y
_atom_site_fract_z
Sn1 0.0000 0.0000 0.0000
Hg1 0.6667 0.3333 0.3228
Bi1 0.3333 0.6667 0.6946
```

Excess energy over the best structure of this formula in the dataset (meV/atom): 36
Size of the total moment (μB per formula unit): 0.000